[1]
VOsRu2 | Alexandria via LeMat-Bulk | PBE | optimized geometry; DFT formation energy = 1.21 eV/f.u.; energy = -9.423 eV per atom; energy above the lowest structure with this stoichiometry = 36.30 kJ/mol of atoms; size of the total moment = 1.72 Bohr magnetons per cell; D(E_F) = 8.84 states/eV/f.u.
1.0
0.000 3.054 3.054
3.054 0.000 3.054
3.054 3.054 0.000
V Os Ru
1 1 2
direct
0.000 0.000 0.000
0.500 0.500 0.500
0.250 0.250 0.250
0.750 0.750 0.750

[2]
Hf2MoSeCl | Alexandria via LeMat-Bulk | PBE | optimized geometry; energy = -6.476 eV per atom; raw formation energy = 3.69 eV per formula unit; size of the total moment = 0.00 Bohr magnetons per cell; D(E_F) = 4.33 states/eV/f.u.
1.0
5.074 0.000 0.000
0.000 5.074 0.000
0.000 0.000 4.554
Hf Mo Se Cl
2 1 1 1
direct
0.000 0.500 0.000
0.500 0.000 0.000
0.000 0.000 0.500
0.000 0.000 0.000
0.500 0.500 0.500

[3]
Pr12In3Ag | Alexandria via LeMat-Bulk | PBE | optimized geometry; DFT formation energy = -3.33 eV/f.u.; energy = -4.485 eV per atom; size of the total moment = 0.00 Bohr magnetons per cell; D(E_F) = 22.92 states/eV/f.u.
1.0
5.016 0.000 0.000
0.000 5.016 0.000
0.000 0.000 19.974
Pr In Ag
12 3 1
direct
0.000 0.000 0.000
0.000 0.000 0.247
0.000 0.000 0.500
0.000 0.000 0.753
0.000 0.500 0.123
0.000 0.500 0.374
0.000 0.500 0.626
0.000 0.500 0.877
0.500 0.000 0.123
0.500 0.000 0.374
0.500 0.000 0.626
0.500 0.000 0.877
0.500 0.500 0.248
0.500 0.500 0.500
0.500 0.500 0.752
0.500 0.500 0.000

[4]
RbAc2RuO6 | Alexandria via LeMat-Bulk | PBE | optimized geometry; energy = -7.053 eV per atom; raw formation energy = -22.32 eV per formula unit; size of the total moment = 6.00 Bohr magnetons per cell
1.0
5.837 0.000 0.000
0.000 6.565 0.000
-5.736 0.000 9.020
Rb Ac Ru O
2 4 2 12
direct
0.000 0.000 0.000
0.000 0.500 0.500
0.213 0.023 0.721
0.213 0.477 0.221
0.787 0.523 0.779
0.787 0.977 0.279
0.500 0.000 0.500
0.500 0.500 0.000
0.190 0.144 0.488
0.190 0.356 0.988
0.232 0.718 0.870
0.232 0.782 0.370
0.445 0.141 0.319
0.445 0.359 0.819
0.555 0.641 0.181
0.555 0.859 0.681
0.768 0.218 0.630
0.768 0.282 0.130
0.810 0.644 0.012
0.810 0.856 0.512

[5]
Pm4ErBi2 | Alexandria via LeMat-Bulk | PBE | optimized geometry; DFT formation energy = 1.20 eV/f.u.; energy = -4.304 eV per atom; size of the total moment = 0.00 Bohr magnetons per cell; D(E_F) = 6.74 states/eV/f.u.
1.0
-2.715 2.715 8.579
2.715 -2.715 8.579
2.715 2.715 -8.579
Pm Er Bi
4 1 2
direct
0.000 0.500 0.500
0.182 0.182 0.000
0.500 0.000 0.500
0.818 0.818 0.000
0.000 0.000 0.000
0.366 0.366 0.000
0.634 0.634 0.000

[6]
K5P3Pd3 | Alexandria via LeMat-Bulk | PBE | optimized geometry; DFT formation energy = -3.66 eV/f.u.; energy = -3.723 eV per atom; size of the total moment = 0.00 Bohr magnetons per cell; D(E_F) = 6.51 states/eV/f.u.
1.0
10.009 0.000 0.000
-5.004 8.668 0.000
0.000 0.000 4.423
K P Pd
5 3 3
direct
0.000 0.270 0.000
0.270 0.000 0.000
0.333 0.667 0.000
0.667 0.333 0.000
0.730 0.730 0.000
0.000 0.636 0.000
0.364 0.364 0.000
0.636 0.000 0.000
0.000 0.637 0.500
0.363 0.363 0.500
0.637 0.000 0.500

[7]
K2TlHg2 | Alexandria via LeMat-Bulk | PBE | optimized geometry; DFT formation energy = -0.87 eV/f.u.; energy = -1.206 eV per atom; energy above the lowest structure with this stoichiometry = 4.07 kJ/mol of atoms; size of the total moment = 0.00 Bohr magnetons per cell; D(E_F) = 3.05 states/eV/f.u.
1.0
8.606 0.000 0.000
0.000 8.606 0.000
0.000 0.000 4.907
K Tl Hg
4 2 4
direct
0.175 0.325 0.000
0.325 0.825 0.000
0.675 0.175 0.000
0.825 0.675 0.000
0.000 0.000 0.500
0.500 0.500 0.500
0.127 0.627 0.500
0.373 0.127 0.500
0.627 0.873 0.500
0.873 0.373 0.500

[8]
ReTc2P | Alexandria via LeMat-Bulk | PBE | optimized geometry; DFT formation energy = 2.58 eV/f.u.; energy = -9.002 eV per atom; size of the total moment = 0.00 Bohr magnetons per cell; D(E_F) = 2.20 states/eV/f.u.
1.0
-2.755 2.755 5.310
2.755 -2.755 5.310
2.755 2.755 -5.310
Re Tc P
2 4 2
direct
0.000 0.000 0.000
0.750 0.250 0.500
0.143 0.625 0.018
0.375 0.393 0.518
0.607 0.125 0.982
0.875 0.857 0.482
0.250 0.750 0.500
0.500 0.500 0.000

[9]
La6DyCd | Alexandria via LeMat-Bulk | PBE | optimized geometry; DFT formation energy = -0.46 eV/f.u.; energy = -4.443 eV per atom; energy above the lowest structure with this stoichiometry = 0.00 kJ/mol of atoms; size of the total moment = 0.00 Bohr magnetons per cell; D(E_F) = 9.40 states/eV/f.u.
1.0
5.127 0.000 0.000
0.000 5.127 0.000
0.000 0.000 10.358
La Dy Cd
6 1 1
direct
0.000 0.000 0.000
0.000 0.000 0.500
0.000 0.500 0.247
0.000 0.500 0.753
0.500 0.000 0.247
0.500 0.000 0.753
0.500 0.500 0.500
0.500 0.500 0.000

[10]
KSrTe2I | Alexandria via LeMat-Bulk | PBE | optimized geometry; energy = -2.880 eV per atom; energy above the lowest structure with this stoichiometry = 0.00 kJ/mol of atoms; raw formation energy = -3.79 eV per formula unit; size of the total moment = 1.45 Bohr magnetons per cell; D(E_F) = 6.68 states/eV/f.u.
1.0
6.311 0.000 0.000
0.000 6.311 0.000
0.000 0.000 6.485
K Sr Te I
1 1 2 1
direct
0.000 0.000 0.000
0.500 0.500 0.500
0.000 0.500 0.500
0.500 0.000 0.500
0.500 0.500 0.000

[11]
Ce2As3Rh | Alexandria via LeMat-Bulk | PBE | optimized geometry; DFT formation energy = -5.75 eV/f.u.; energy = -6.486 eV per atom; energy above the lowest structure with this stoichiometry = 0.00 kJ/mol of atoms; size of the total moment = 1.20 Bohr magnetons per cell; D(E_F) = 7.52 states/eV/f.u.
1.0
0.000 4.240 7.917
3.946 0.000 7.917
3.946 4.240 0.000
Ce As Rh
4 6 2
direct
0.249 0.751 0.751
0.250 0.250 0.250
0.750 0.750 0.750
0.751 0.249 0.249
0.144 0.684 0.316
0.208 0.208 0.792
0.316 0.856 0.144
0.684 0.144 0.856
0.792 0.792 0.208
0.856 0.316 0.684
0.363 0.363 0.637
0.637 0.637 0.363

[12]
Tc2Sb | Alexandria via LeMat-Bulk | PBE | optimized geometry; energy = -7.862 eV per atom; energy above the lowest structure with this stoichiometry = 30.54 kJ/mol of atoms; raw formation energy = 1.27 eV per formula unit; size of the total moment = 0.00 Bohr magnetons per cell; D(E_F) = 2.44 states/eV/f.u.
1.0
6.553 0.000 0.000
-3.276 5.675 0.000
0.000 0.000 4.197
Tc Sb
6 3
direct
0.000 0.244 0.000
0.000 0.578 0.500
0.244 0.000 0.000
0.422 0.422 0.500
0.578 0.000 0.500
0.756 0.756 0.000
0.000 0.000 0.500
0.333 0.667 0.000
0.667 0.333 0.000

What is the formula in the seventh record? K2TlHg2

What is the formula in the fifth record? Pm4ErBi2

What is the formula in the tenth record? KSrTe2I